The following is a DFT calculation (PBE) of an optimized crystal structure of OsCl.

Cell: 2.9992 2.9992 9.6055 Å, 90.00 90.00 123.96°
With the nearest neighbours (Å) after each atom.
Element x y z (fractional)
Cl1 0.0000 0.0000 0.0519  2 Os 2.46
Cl2 0.5000 0.5000 0.6981  2 Os 2.46
Os1 0.0000 0.0000 0.4877  2 Cl 2.46, 2 Os 2.58
Os2 0.5000 0.5000 0.2623  2 Cl 2.46, 2 Os 2.58

Properties
Mass density, g/cm³: 10.5
DOS(E_F), states/eV/cell: 6.1
Total magnetic moment, Bohr magnetons per cell: 0.00
Offset from the most stable computed form, meV/atom: 553.3
Formation energy (no corrections), eV per atom: 0.6773
Crystal system: orthorhombic
Final energy, hartree per atom: -0.215


The following is a DFT calculation (PBE) of an optimized crystal structure of CaO.

Cell: 8.7872 8.7872 3.9064 Å, 90.00 90.00 120.00°
With the nearest neighbours (Å) after each atom.
Element x y z (fractional)
Ca1 0.9238 0.3288 0.2500  4 O 2.24-2.31
Ca2 0.5950 0.9238 0.7500  4 O 2.24-2.31
Ca3 0.6712 0.5950 0.2500  4 O 2.24-2.31
Ca4 0.0762 0.6712 0.7500  4 O 2.24-2.31
Ca5 0.4049 0.0762 0.2500  4 O 2.24-2.31
Ca6 0.3288 0.4049 0.7500  4 O 2.24-2.31
O1 0.6677 0.0754 0.2500  4 Ca 2.24-2.31
O2 0.5923 0.6677 0.7500  4 Ca 2.24-2.31
O3 0.9246 0.5923 0.2500  4 Ca 2.24-2.31
O4 0.3323 0.9246 0.7500  4 Ca 2.24-2.31
O5 0.4077 0.3323 0.2500  4 Ca 2.24-2.31
O6 0.0754 0.4077 0.7500  4 Ca 2.24-2.31

Properties
Mass density, g/cm³: 2.1
DOS(E_F), states/eV/cell: 0.0
Total magnetic moment, Bohr magnetons per cell: 0.00
Formation energy (no corrections), eV per atom: -2.7520
Crystal system: hexagonal
Final energy, hartree per atom: -0.229


The following is a DFT calculation (PBE) of an optimized crystal structure of PmErTl.

Cell: 3.6290 3.6290 7.3020 Å, 104.39 104.39 90.00°
With the nearest neighbours (Å) after each atom.
Element x y z (fractional)
Tl1 0.6211 0.6211 0.2422  4 Er 3.28, 4 Pm 3.40, 4 Tl 3.63
Er1 0.2708 0.2708 0.5416  4 Tl 3.28, 4 Pm 3.63, 4 Er 3.63
Pm1 0.9581 0.9581 0.9163  4 Tl 3.40, 4 Er 3.63, 4 Pm 3.63

Properties
Mass density, g/cm³: 9.5
DOS(E_F), states/eV/cell: 3.7
Total magnetic moment, Bohr magnetons per cell: 0.00
Offset from the most stable computed form, meV/atom: 38.2
Calculated formation energy, eV/atom: -0.2202
Crystal system: tetragonal
Final energy, hartree per atom: -0.151


The following is a DFT calculation (PBE) of an optimized crystal structure of Ge3SbS.

Cell: 4.9712 4.9712 4.9712 Å, 90.00 90.00 90.00°
With the nearest neighbours (Å) after each atom.
Element x y z (fractional)
Sb1 0.5000 0.5000 0.5000  12 Ge 3.52
Ge1 0.0000 0.5000 0.0000  2 S 2.49
Ge2 0.0000 0.0000 0.5000  2 S 2.49
Ge3 0.5000 0.0000 0.0000  2 S 2.49
S1 0.0000 0.0000 0.0000  6 Ge 2.49

Properties
Mass density, g/cm³: 5.0
DOS(E_F), states/eV/cell: 2.0
Total magnetic moment, Bohr magnetons per cell: 0.00
Offset from the most stable computed form, meV/atom: 0.0
Formation energy (no corrections), eV per atom: 0.4421
Crystal system: cubic
Final energy, hartree per atom: -0.146


The following is a DFT calculation (PBE) of an optimized crystal structure of PuPb2Cl8.

Cell: 6.5671 7.6293 7.6293 Å, 74.28 105.08 105.08°
With the nearest neighbours (Å) after each atom.
Element x y z (fractional)
Pu1 0.0000 0.0000 0.0000  6 Cl 2.53-2.66
Pb1 0.4347 0.6590 0.6590  4 Cl 2.74-3.05
Pb2 0.5653 0.3410 0.3410  4 Cl 2.74-3.05
Cl1 0.2522 0.3361 0.9499  1 Pu 2.66
Cl2 0.7478 0.0501 0.6639  1 Pu 2.66
Cl3 0.2403 0.8746 0.8746  1 Pu 2.53
Cl4 0.7597 0.1254 0.1254  1 Pu 2.53
Cl5 0.2522 0.9499 0.3361  1 Pu 2.66
Cl6 0.7478 0.6639 0.0501  1 Pu 2.66
Cl7 0.7799 0.5800 0.5800  2 Pb 2.74-2.79
Cl8 0.2201 0.4200 0.4200  2 Pb 2.74-2.79

Properties
Mass density, g/cm³: 4.5
DOS(E_F), states/eV/cell: 5.3
Total magnetic moment, Bohr magnetons per cell: 4.00
Offset from the most stable computed form, meV/atom: 0.0
Formation energy (no corrections), eV per atom: -1.3648
Crystal system: monoclinic
Final energy, hartree per atom: -0.172


The following is a DFT calculation (PBE) of an optimized crystal structure of K2SiAg.

Cell: 5.3563 5.3563 5.3563 Å, 119.94 119.94 90.10°
With the nearest neighbours (Å) after each atom.
Element x y z (fractional)
Ag1 0.7500 0.2500 0.5000  4 K 3.28, 4 Si 3.28
K1 0.0000 0.0000 0.0000  4 K 3.28, 4 Ag 3.28
K2 0.2500 0.7500 0.5000  4 Si 3.28, 4 K 3.28
Si1 0.5000 0.5000 0.0000  4 K 3.28, 4 Ag 3.28

Properties
Mass density, g/cm³: 3.3
DOS(E_F), states/eV/cell: 3.6
Total magnetic moment, Bohr magnetons per cell: 0.73
Formation energy (no corrections), eV per atom: 0.3527
Crystal system: tetragonal
Final energy, hartree per atom: -0.083


The following is a DFT calculation (PBE) of an optimized crystal structure of MgZnSi.

Cell: 7.8040 3.6271 3.9865 Å, 90.00 75.11 90.02°
With the nearest neighbours (Å) after each atom.
Element x y z (fractional)
Mg1 0.3998 0.2595 0.3257  1 Zn 2.71, 4 Si 2.81
Mg2 0.8120 0.7597 0.1185  1 Zn 2.71, 4 Si 2.81
Si1 0.5050 0.7596 0.7730  2 Si 2.37, 1 Zn 2.52
Si2 0.7069 0.2597 0.6709  2 Si 2.37, 1 Zn 2.52
Zn1 0.1714 0.7596 0.9417  1 Si 2.52, 1 Mg 2.71
Zn2 0.0404 0.2597 0.5056  1 Si 2.52, 1 Mg 2.71

Properties
Mass density, g/cm³: 3.6
DOS(E_F), states/eV/cell: 1.6
Total magnetic moment, Bohr magnetons per cell: 0.00
Formation energy (no corrections), eV per atom: 0.0576
Crystal system: monoclinic
Final energy, hartree per atom: -0.099


The following is a DFT calculation (PBE) of an optimized crystal structure of SiBF.

Cell: 3.6720 4.4197 4.9788 Å, 75.26 89.82 79.26°
With the nearest neighbours (Å) after each atom.
Element x y z (fractional)
Si1 0.7189 0.6632 0.0617  1 F 1.96, 2 B 2.07-2.09
Si2 0.4143 0.2043 0.8782  1 F 1.83, 1 B 2.04
B1 0.2642 0.4427 0.1756  1 B 1.68
B2 0.2110 0.2064 0.4907  1 F 1.37
F1 0.6776 0.5154 0.7263  2 Si 1.83-1.96
F2 0.0058 0.9746 0.5014  1 B 1.37

Properties
Mass density, g/cm³: 2.5
Total magnetic moment, Bohr magnetons per cell: 0.00
Offset from the most stable computed form, meV/atom: 64.3
Formation energy (no corrections), eV per atom: -0.7834
Crystal system: triclinic
Final energy, hartree per atom: -0.200


The following is a DFT calculation (PBE) of an optimized crystal structure of KP2OsCl.

Cell: 4.5023 4.5023 6.0051 Å, 90.00 90.00 90.00°
With the nearest neighbours (Å) after each atom.
Element x y z (fractional)
P1 0.0000 0.5000 0.0000  2 Os 2.25
P2 0.5000 0.0000 0.0000  2 Os 2.25
K1 0.5000 0.5000 0.5000  4 Cl 3.18
Os1 0.0000 0.0000 0.0000  4 P 2.25
Cl1 0.0000 0.0000 0.5000  2 Os 3.00, 4 K 3.18

Properties
Mass density, g/cm³: 4.5
DOS(E_F), states/eV/cell: 2.3
Total magnetic moment, Bohr magnetons per cell: 0.00
Offset from the most stable computed form, meV/atom: 37.3
Formation energy (no corrections), eV per atom: -0.1531
Crystal system: tetragonal
Final energy, hartree per atom: -0.189


The following is a DFT calculation (PBE) of an optimized crystal structure of ZnMoI2.

Cell: 7.9565 7.9565 7.4862 Å, 57.90 57.90 90.00°
With the nearest neighbours (Å) after each atom.
Element x y z (fractional)
I1 0.7218 0.1250 0.2500  2 Mo 2.64
I2 0.0282 0.6250 0.2500  2 Mo 2.64
I3 0.3750 0.2782 0.7500  2 Mo 2.64
I4 0.8750 0.9718 0.7500  2 Mo 2.64
Mo1 0.0000 0.0000 0.0000  4 I 2.64
Mo2 0.7500 0.2500 0.5000  4 I 2.64
Zn1 0.5000 0.5000 0.0000  4 I 3.62
Zn2 0.2500 0.7500 0.5000  4 I 3.62

Properties
Mass density, g/cm³: 4.4
DOS(E_F), states/eV/cell: 8.3
Total magnetic moment, Bohr magnetons per cell: 0.00
Offset from the most stable computed form, meV/atom: 0.0
Formation energy (no corrections), eV per atom: 0.7125
Crystal system: tetragonal
Final energy, hartree per atom: -0.114


The following is a DFT calculation (PBE) of an optimized crystal structure of PuAlH4.

Cell: 3.3916 3.3916 4.8020 Å, 89.98 89.99 90.00°
With the nearest neighbours (Å) after each atom.
Element x y z (fractional)
Pu1 0.5013 0.4973 0.9981  8 H 2.20
Al1 0.0013 0.9973 0.4981  8 H 1.97
H1 0.5012 0.9972 0.2887  2 Al 1.97, 1 H 2.01, 2 Pu 2.20
H2 0.5013 0.9974 0.7075  2 Al 1.97, 1 H 2.01, 2 Pu 2.20
H3 0.0014 0.4974 0.7075  2 Al 1.97, 1 H 2.01, 2 Pu 2.20
H4 0.0012 0.4972 0.2887  2 Al 1.97, 1 H 2.01, 2 Pu 2.20

Properties
Mass density, g/cm³: 8.3
DOS(E_F), states/eV/cell: 5.5
Total magnetic moment, Bohr magnetons per cell: 5.33
Crystal system: tetragonal
Final energy, hartree per atom: -0.197